SrW4S8 | PBE | optimized geometry

Geometry as CIF:
```
data_SrW4S8
_chemical_formula_sum 'Sr2 W8 S16'
_cell_length_a 16.504
_cell_length_b 3.325
_cell_length_c 11.551
_cell_angle_alpha 90.00
_cell_angle_beta 131.59
_cell_angle_gamma 90.00
_space_group_name_H-M_alt 'C 1 2/m 1'
_space_group_IT_number 12
_space_group_name_Hall '-C 2y'
loop_
_atom_site_label
_atom_site_fract_x
_atom_site_fract_y
_atom_site_fract_z
_atom_site_occupancy
Sr1 0.000 0.000 0.000 1
W1 0.168 0.000 0.478 1
W2 0.187 0.500 0.863 1
S1 0.043 0.000 0.741 1
S2 0.136 0.500 0.598 1
S3 0.143 0.500 0.302 1
S4 0.179 0.500 0.062 1
```

Properties
**Total energy**: -7.36 eV/atom
**V**: 18.232 Å³/atom
**M_tot**: 0.00 μB/f.u.
**E_form (uncorrected)**: -16.2 kcal/mol of atoms